Computed, not measured: Ca2ZrRh after structural relaxation at the GGA-PBE level of DFT.

Lattice parameters (Å, degrees): 5.1388 5.1388 5.1388 60.00 60.00 60.00
Positions (direct):
Ca: 0.2500 0.2500 0.2500
Ca: 0.7500 0.7500 0.7500
Zr: 0.0000 0.0000 0.0000
Rh: 0.5000 0.5000 0.5000

Computed properties:
* excess energy over the best structure of this formula in the dataset: 649 meV/atom
* formation energy from the elements: 0.391 eV per atom
* total magnetic moment: 2.061 μB per formula unit
* space group: Fm-3m, No. 225
* Fermi-level density of states: 2.446 states/eV per atom
* total DFT energy (no corrections): -18.34 eV for the cell shown